Material: LaZrAs3
Method: DFT, GGA-PBEsol
State: optimized geometry

Cell: 5.310 5.310 5.310 Å, 90.00 90.00 90.00°
Site moments in Bohr magnetons follow the coordinates.
Positions (direct):
As1 0.500 0.000 0.000  0.06
As2 0.000 0.500 0.000  0.06
As3 0.000 0.000 0.500  0.06
La1 0.000 0.000 0.000  0.04
Zr1 0.500 0.500 0.500  -0.69

Results
Fermi-level density of states (states/eV/atom): 1.490
SG: No. 221
Formation energy (meV per atom): 797
Magnetization (μB per formula unit): 0.7